VASP calculation (GGA-PBE) on a relaxed structure of TbPr2P2N6.

Cell and atoms, written as POSCAR:
```
TbPr2P2N6
1.0
-1.8827 1.8827 9.6158
1.8827 -1.8827 9.6158
1.8827 1.8827 -9.6158
Tb P N Pr
1 2 6 2
Direct
0.0000 0.0000 0.0000 Tb
0.3959 0.3959 0.0000 P
0.6041 0.6041 0.0000 P
0.6914 0.6914 0.0000 N
0.9166 0.4166 0.5000 N
0.3086 0.3086 0.0000 N
0.0834 0.5834 0.5000 N
0.5834 0.0834 0.5000 N
0.4166 0.9166 0.5000 N
0.1776 0.1776 0.0000 Pr
0.8224 0.8224 0.0000 Pr
```

As for the calculated volume: 12.4 A^3/atom. For the total moment, the calculation gives 0.00 μB per formula unit. The calculation puts the total energy at -83.72 eV/cell. The symmetry is I4/mmm.

***

VASP calculation (GGA-PBE) on a relaxed structure of Cu2Ag.

Cell and atoms, written as POSCAR:
```
Cu2Ag
1.0
2.7304 0.0000 0.0000
0.0000 3.6543 0.0000
0.0000 0.0000 8.3490
Cu Ag
4 2
Direct
0.0000 0.0000 0.7232 Cu
0.5000 0.5000 0.5753 Cu
0.5000 0.5000 0.2768 Cu
0.0000 0.0000 0.4247 Cu
0.0000 0.0000 0.1024 Ag
0.5000 0.5000 0.8976 Ag
```

As for the calculated volume: 13.9 A^3/atom. For the energy of formation, the calculation gives 0.075 eV/atom. The calculation puts the energy above the lowest structure with this stoichiometry at 0.087 eV per formula unit. The symmetry is Pmmn.

***

What is the calculated volume in the first record? 12.4 A^3/atom